# BaPb

An optimized crystal structure of BaPb (PBE-GGA, Alexandria via LeMat-Bulk).

Values from the calculation:
The density comes out at 6.20 g/cm3. Its crystal system is hexagonal. The calculation puts the total DFT energy (no corrections) at -12.80 eV per cell. Its symmetry is P6_3/mmc, No. 194.

abc: 5.835 5.835 6.255
angles: 90.00 90.00 120.00
Fractional positions:
Ba 0.333 0.667 0.250
Ba 0.667 0.333 0.750
Pb 0.000 0.000 0.000
Pb 0.000 0.000 0.500